A relaxed structure of LiHgSeBr2, computed with PBE-GGA.

uncorrected formation energy	-1.030	eV/f.u.
symmetry	P4/mmm (123)
crystal system	tetragonal
ρ	4379	kg/m3
E above lowest polymorph	0	meV/atom
VASP energy	-2.0153	eV/atom

Lattice parameters (Å, degrees): 5.6832 5.6832 5.2394 90.00 90.00 90.00
Each line ends with the local moment (μB).
Sites, in units of the cell vectors:
Br 0.5000 0.0000 0.0000  0.06
Br 0.0000 0.5000 0.0000  0.06
Li 0.5000 0.5000 0.5000  0.00
Hg 0.0000 0.0000 0.0000  0.01
Se 0.0000 0.0000 0.5000  0.35